(1)
VASP calculation (PBE-GGA) on a relaxed structure of Sm6Dy2Er5.

abc: 11.646 20.327 3.598
angles: 90.00 90.00 90.00
Sites, in units of the cell vectors:
Sm (0.060, 0.080, 0.000)
Sm (0.083, 0.367, 0.000)
Sm (0.172, 0.633, 0.500)
Sm (0.328, 0.133, 0.500)
Sm (0.417, 0.867, 0.000)
Sm (0.440, 0.580, 0.000)
Sm (0.560, 0.420, 0.000)
Sm (0.583, 0.133, 0.000)
Sm (0.672, 0.867, 0.500)
Sm (0.828, 0.367, 0.500)
Sm (0.917, 0.633, 0.000)
Sm (0.940, 0.920, 0.000)
Dy (0.165, 0.789, 0.000)
Dy (0.335, 0.289, 0.000)
Dy (0.665, 0.711, 0.000)
Dy (0.835, 0.211, 0.000)
Er (0.000, 0.500, 0.500)
Er (0.094, 0.226, 0.500)
Er (0.198, 0.946, 0.500)
Er (0.302, 0.446, 0.500)
Er (0.406, 0.726, 0.500)
Er (0.500, 0.000, 0.500)
Er (0.594, 0.274, 0.500)
Er (0.698, 0.554, 0.500)
Er (0.802, 0.054, 0.500)
Er (0.906, 0.774, 0.500)

- calculated formation energy (kJ/mol of atoms) = 9.8
- size of the total moment (μB per cell) = 0.000

=====

(2)
VASP calculation (PBE-GGA) on a relaxed structure of LaCe2Lu.

abc: 3.475 3.475 10.074
angles: 90.00 90.00 90.00
Sites, in units of the cell vectors:
La (0.000, 0.000, 0.000)
Ce (0.500, 0.500, 0.254)
Ce (0.500, 0.500, 0.746)
Lu (0.000, 0.000, 0.500)

- calculated formation energy (kJ/mol of atoms) = 10.7
- size of the total moment (μB per cell) = 1.333
- distance to the lowest polymorph of the same formula (eV/atom) = 0.0000

=====

(3)
VASP calculation (PBE-GGA) on a relaxed structure of TbPmCdTc.

abc: 5.112 5.112 5.112
angles: 60.00 60.00 60.00
Sites, in units of the cell vectors:
Tb (0.000, 0.000, 0.000)
Pm (0.500, 0.500, 0.500)
Cd (0.750, 0.750, 0.750)
Tc (0.250, 0.250, 0.250)

- calculated formation energy (kJ/mol of atoms) = -4.0
- size of the total moment (μB per cell) = 0.000

=====

(4)
VASP calculation (PBE-GGA) on a relaxed structure of LiZrNbPb2.

abc: 5.660 5.660 5.542
angles: 90.00 90.00 90.00
Sites, in units of the cell vectors:
Li (0.000, 0.000, 0.000)
Zr (0.500, 0.500, 0.500)
Nb (0.500, 0.500, 0.000)
Pb (0.000, 0.500, 0.500)
Pb (0.500, 0.000, 0.500)

- calculated formation energy (kJ/mol of atoms) = 86.4
- size of the total moment (μB per cell) = 2.265

=====

(5)
VASP calculation (PBE-GGA) on a relaxed structure of SrMgScTl.

abc: 5.425 5.425 5.425
angles: 60.00 60.00 60.00
Sites, in units of the cell vectors:
Sr (0.000, 0.000, 0.000)
Mg (0.750, 0.750, 0.750)
Sc (0.500, 0.500, 0.500)
Tl (0.250, 0.250, 0.250)

- calculated formation energy (kJ/mol of atoms) = -11.2
- size of the total moment (μB per cell) = 0.000

=====

(6)
VASP calculation (PBE-GGA) on a relaxed structure of TmB2C.

abc: 8.513 8.513 3.016
angles: 90.00 90.00 158.39
Sites, in units of the cell vectors:
Tm (0.105, 0.895, 0.750)
Tm (0.895, 0.105, 0.250)
B (0.250, 0.750, 0.250)
B (0.486, 0.514, 0.750)
B (0.514, 0.486, 0.250)
B (0.750, 0.250, 0.750)
C (0.298, 0.702, 0.750)
C (0.702, 0.298, 0.250)

- calculated formation energy (kJ/mol of atoms) = 3.1
- size of the total moment (μB per cell) = 0.091

=====

(7)
VASP calculation (PBE-GGA) on a relaxed structure of Ba2CaMg3Hg12.

abc: 12.767 12.767 12.767
angles: 32.56 32.56 32.56
Sites, in units of the cell vectors:
Ba (0.138, 0.138, 0.138)
Ba (0.862, 0.862, 0.862)
Ca (0.500, 0.500, 0.500)
Mg (0.000, 0.500, 0.500)
Mg (0.500, 0.000, 0.500)
Mg (0.500, 0.500, 0.000)
Hg (0.088, 0.616, 0.616)
Hg (0.094, 0.094, 0.669)
Hg (0.094, 0.669, 0.094)
Hg (0.331, 0.906, 0.906)
Hg (0.384, 0.384, 0.912)
Hg (0.384, 0.912, 0.384)
Hg (0.616, 0.088, 0.616)
Hg (0.616, 0.616, 0.088)
Hg (0.669, 0.094, 0.094)
Hg (0.906, 0.331, 0.906)
Hg (0.906, 0.906, 0.331)
Hg (0.912, 0.384, 0.384)

- calculated formation energy (kJ/mol of atoms) = -20.3
- size of the total moment (μB per cell) = 0.000

=====

(8)
VASP calculation (PBE-GGA) on a relaxed structure of LuNpCoOs.

abc: 4.706 4.706 4.706
angles: 60.00 60.00 60.00
Sites, in units of the cell vectors:
Lu (0.000, 0.000, 0.000)
Np (0.500, 0.500, 0.500)
Co (0.750, 0.750, 0.750)
Os (0.250, 0.250, 0.250)

- calculated formation energy (kJ/mol of atoms) = -7.6
- size of the total moment (μB per cell) = 2.520

=====

What did the second record say?
VASP calculation (PBE-GGA) on a relaxed structure of LaCe2Lu.

abc: 3.475 3.475 10.074
angles: 90.00 90.00 90.00
Sites, in units of the cell vectors:
La (0.000, 0.000, 0.000)
Ce (0.500, 0.500, 0.254)
Ce (0.500, 0.500, 0.746)
Lu (0.000, 0.000, 0.500)

- calculated formation energy (kJ/mol of atoms) = 10.7
- size of the total moment (μB per cell) = 1.333
- distance to the lowest polymorph of the same formula (eV/atom) = 0.0000

=====

Copy entry 4 word for word.
VASP calculation (PBE-GGA) on a relaxed structure of LiZrNbPb2.

abc: 5.660 5.660 5.542
angles: 90.00 90.00 90.00
Sites, in units of the cell vectors:
Li (0.000, 0.000, 0.000)
Zr (0.500, 0.500, 0.500)
Nb (0.500, 0.500, 0.000)
Pb (0.000, 0.500, 0.500)
Pb (0.500, 0.000, 0.500)

- calculated formation energy (kJ/mol of atoms) = 86.4
- size of the total moment (μB per cell) = 2.265

=====

size of the total moment of number 6 (TmB2C)?
0.091 μB per cell

=====

What did the second record say?
VASP calculation (PBE-GGA) on a relaxed structure of LaCe2Lu.

abc: 3.475 3.475 10.074
angles: 90.00 90.00 90.00
Sites, in units of the cell vectors:
La (0.000, 0.000, 0.000)
Ce (0.500, 0.500, 0.254)
Ce (0.500, 0.500, 0.746)
Lu (0.000, 0.000, 0.500)

- calculated formation energy (kJ/mol of atoms) = 10.7
- size of the total moment (μB per cell) = 1.333
- distance to the lowest polymorph of the same formula (eV/atom) = 0.0000